(1)
Entry from the Alexandria database: a relaxed CeSm14Y crystal (PBE).

Cell: 7.2477 7.2477 10.2306 Å, 90.00 90.00 90.00°
Closest atoms and distances in Å follow each position.
Space group P4/mmm (No. 123)
Asymmetric unit:
Ce: 0.0000 0.0000 0.0000 [1 per cell]  12 Sm 3.60-3.62
Sm: 0.0000 0.0000 0.5000 [1 per cell]  12 Sm 3.62
Sm: 0.0000 0.5000 0.0000 [2 per cell]  8 Sm 3.61, 2 Ce 3.62, 2 Y 3.62
Sm: 0.0000 0.5000 0.5000 [2 per cell]  12 Sm 3.62-3.63
Sm: 0.2486 0.2486 0.2484 [8 per cell]  1 Ce 3.60, 10 Sm 3.60-3.64, 1 Y 3.62
Sm: 0.5000 0.5000 0.5000 [1 per cell]  12 Sm 3.62-3.64
Y: 0.5000 0.5000 0.0000 [1 per cell]  12 Sm 3.62

Magnetic moment: 0.99 μB/f.u.
Total energy: -4.875 eV/atom

(2)
Entry from the Alexandria database: a relaxed CeSm2Y crystal (PBE).

Cell: 3.4629 3.4629 37.4173 Å, 90.00 90.00 120.00°
Closest atoms and distances in Å follow each position.
Space group R-3m (No. 166, hexagonal axes)
Asymmetric unit:
Ce: 0.0000 0.0000 0.0000 [3 per cell]  2 Sm 3.30, 6 Ce 3.46
Sm: 0.0000 0.0000 0.0881 [6 per cell]  1 Ce 3.30, 6 Sm 3.46, 3 Y 3.56
Y: 0.0000 0.0000 0.5000 [3 per cell]  6 Y 3.46, 6 Sm 3.56

Magnetic moment: 0.82 μB/f.u.
Energy above the lowest structure with this stoichiometry: 0.1264 eV per atom